Computed, not measured: a relaxed structure of CsMoF6 at the GGA+U level of DFT.

The calculation puts the uncorrected energy at -5.041 eV/atom. Its size of the total moment is 3.0 Bohr magnetons per cell.

CIF file:
```
data_CsMoF6
_chemical_formula_sum 'Cs3 Mo3 F18'
_cell_length_a 8.1901
_cell_length_b 8.1901
_cell_length_c 8.2053
_cell_angle_alpha 90.00
_cell_angle_beta 90.00
_cell_angle_gamma 120.00
_space_group_name_H-M_alt 'R -3 m'
_space_group_IT_number 166
_space_group_name_Hall '-R 3 2"'
loop_
_atom_site_label
_atom_site_fract_x
_atom_site_fract_y
_atom_site_fract_z
_atom_site_occupancy
Cs1 0.0000 0.0000 0.0000 1
Mo1 0.0000 0.0000 0.5000 1
F1 0.1095 0.5548 0.2999 1
```